[1]
{"formula": "Li5CSN2", "functional": "PBE-GGA", "state": "relaxed", "lattice_angstrom": [[4.135, 0.000, 0.000], [0.000, 4.135, 0.000], [0.000, 0.000, 6.572]], "species": ["S", "Li", "Li", "Li", "Li", "Li", "C", "N", "N"], "frac_coords": [[0.500, 0.500, 0.500], [0.000, 0.500, 0.754], [0.000, 0.000, 0.500], [0.500, 0.000, 0.754], [0.500, 0.000, 0.246], [0.000, 0.500, 0.246], [0.000, 0.000, 0.000], [0.000, 0.000, 0.189], [0.000, 0.000, 0.811]], "raw_formation_energy_ev_per_atom": -0.679, "sg": "No. 123", "magmom_total_mub_per_cell": 0.16}

[2]
{"formula": "RbRe", "functional": "PBE-GGA", "state": "relaxed", "lattice_angstrom": [[-0.119, 0.337, 3.211], [-8.503, 0.016, -0.317], [-0.094, -16.325, 1.711]], "species": ["Rb", "Rb", "Rb", "Rb", "Rb", "Rb", "Re", "Re", "Re", "Re", "Re", "Re"], "frac_coords": [[0.500, 0.233, 0.784], [0.000, 0.767, 0.284], [0.500, 0.233, 0.216], [0.000, 0.530, 0.000], [0.000, 0.767, 0.716], [0.500, 0.470, 0.500], [0.500, 0.071, 0.574], [0.000, 0.929, 0.074], [0.000, 0.929, 0.926], [0.000, 0.907, 0.500], [0.500, 0.071, 0.426], [0.500, 0.093, 0.000]], "de_polymorph_kj_per_mol_atoms": 55.2, "sg": "No. 59", "magmom_total_mub_per_cell": 0.00}

[3]
{"formula": "Pm8BiSb2", "functional": "PBE-GGA", "state": "relaxed", "lattice_angstrom": [[4.783, 0.000, 0.000], [0.000, 7.880, 1.111], [-2.392, -1.901, 9.263]], "species": ["Pm", "Pm", "Pm", "Pm", "Pm", "Pm", "Pm", "Pm", "Sb", "Sb", "Bi"], "frac_coords": [[0.000, 0.258, 0.000], [0.400, 0.481, 0.801], [0.600, 0.519, 0.199], [0.000, 0.742, 0.000], [0.218, 0.362, 0.436], [0.782, 0.638, 0.564], [0.333, 0.963, 0.665], [0.667, 0.037, 0.335], [0.175, 0.768, 0.349], [0.825, 0.232, 0.651], [0.500, 0.000, 0.000]], "raw_formation_energy_ev_per_atom": -0.510, "sg": "No. 12", "magmom_total_mub_per_cell": 0.00}

[4]
{"formula": "V7Ga3W", "functional": "PBE-GGA", "state": "relaxed", "lattice_angstrom": [[2.555, 0.000, 0.000], [-1.278, 9.075, 0.000], [0.000, 0.000, 14.363]], "species": ["Ga", "Ga", "Ga", "Ga", "Ga", "Ga", "W", "W", "V", "V", "V", "V", "V", "V", "V", "V", "V", "V", "V", "V", "V", "V"], "frac_coords": [[0.877, 0.754, 0.991], [0.123, 0.246, 0.491], [0.877, 0.754, 0.509], [0.123, 0.246, 0.009], [0.225, 0.451, 0.750], [0.775, 0.549, 0.250], [0.993, 0.985, 0.750], [0.007, 0.015, 0.250], [0.501, 0.002, 0.085], [0.743, 0.486, 0.585], [0.499, 0.998, 0.585], [0.382, 0.765, 0.339], [0.499, 0.998, 0.915], [0.382, 0.765, 0.161], [0.257, 0.514, 0.085], [0.618, 0.235, 0.839], [0.362, 0.725, 0.750], [0.638, 0.275, 0.250], [0.743, 0.486, 0.915], [0.501, 0.002, 0.415], [0.618, 0.235, 0.661], [0.257, 0.514, 0.415]], "energy_ev_per_atom": -7.555, "sg": "No. 63", "magmom_total_mub_per_cell": 0.00}